A plane-wave DFT calculation with GGA-PBEsol was carried out for a relaxed structure of KBi2I.

As for the uncorrected formation energy: -385 meV per atom.

The structure belongs to space group I-42d (No. 122); the cell edges are 4.627, 4.627 and 28.815 Å and the angles 90.00°, 90.00° and 90.00°. The distinct sites, in fractional coordinates, are K at (0.000, 0.000, 0.000), Bi at (0.208, 0.250, 0.125) and I at (0.000, 0.000, 0.500).

---

A plane-wave DFT calculation with GGA-PBEsol was carried out for a relaxed structure of NbBiPt3.

For the energy of formation, the calculation gives 0.786 eV/atom.

The structure belongs to space group Pm-3m (No. 221); the cell edges are 4.848, 4.848 and 4.848 Å and the angles 90.00°, 90.00° and 90.00°. The distinct sites, in fractional coordinates, are Nb at (0.000, 0.000, 0.000), Bi at (0.500, 0.500, 0.500) and Pt at (0.000, 0.000, 0.500).

---

A plane-wave DFT calculation with GGA-PBEsol was carried out for a relaxed structure of Ta3AlFe8.

For the energy of formation, the calculation gives -0.258 eV/atom.

The structure belongs to space group P3m1 (No. 156); the cell edges are 4.6624, 4.6624 and 7.7022 Å and the angles 90.00°, 90.00° and 120.00°. The distinct sites, in fractional coordinates, are Ta at (0.0000, 0.0000, 0.0000), Ta at (0.0000, 0.0000, 0.3721), Ta at (0.6667, 0.3333, 0.5165), Al at (0.6667, 0.3333, 0.8812), Fe at (0.1637, 0.3273, 0.6911), Fe at (0.3333, 0.6667, 0.4322), Fe at (0.3333, 0.6667, 0.9385) and Fe at (0.5045, 0.0089, 0.1888).

---

A plane-wave DFT calculation with GGA-PBEsol was carried out for a relaxed structure of Ti3NbH.

The value obtained for the energy is -7.891 eV per atom.

The structure belongs to space group Pm-3m (No. 221); the cell edges are 4.095, 4.095 and 4.095 Å and the angles 90.00°, 90.00° and 90.00°. The distinct sites, in fractional coordinates, are Ti at (0.000, 0.000, 0.500), Nb at (0.500, 0.500, 0.500) and H at (0.000, 0.000, 0.000).